No. 1
Compound: VRe2NiW
Source: Alexandria
Functional: PBE
Structure: relaxed

a b c (Å): 4.466 4.466 4.069
angles (deg): 90.00 90.00 90.00
Fractional positions:
1 V 0.000 0.000 0.000
2 Re 0.000 0.500 0.500
3 Re 0.500 0.000 0.500
4 Ni 0.000 0.000 0.500
5 W 0.500 0.500 0.000

## Properties
As for the space group: P4/mmm (123). The total DFT energy (no corrections) is -9.117 eV per atom. Its formation energy from the elements is 1433 meV/atom.

=====

No. 2
Compound: Tl6Hg8As
Source: Alexandria
Functional: PBE
Structure: relaxed

a b c (Å): 9.372 9.372 9.372
angles (deg): 52.09 52.09 52.09
Fractional positions:
1 Tl 0.014 0.231 0.592
2 Tl 0.231 0.592 0.014
3 Tl 0.408 0.986 0.769
4 Tl 0.592 0.014 0.231
5 Tl 0.769 0.408 0.986
6 Tl 0.986 0.769 0.408
7 Hg 0.167 0.444 0.776
8 Hg 0.224 0.833 0.556
9 Hg 0.370 0.370 0.370
10 Hg 0.444 0.776 0.167
11 Hg 0.556 0.224 0.833
12 Hg 0.630 0.630 0.630
13 Hg 0.776 0.167 0.444
14 Hg 0.833 0.556 0.224
15 As 0.000 0.000 0.000

## Properties
As for the space group: R-3 (148). The total DFT energy (no corrections) is -1.396 eV per atom. Its formation energy from the elements is 21 meV/atom.

=====

No. 3
Compound: LaPr2Th
Source: Alexandria
Functional: PBE
Structure: relaxed

a b c (Å): 3.677 3.677 12.264
angles (deg): 98.66 98.66 59.97
Fractional positions:
1 La 0.000 0.000 0.000
2 Pr 0.581 0.581 0.739
3 Pr 0.755 0.755 0.261
4 Th 0.167 0.167 0.500

## Properties
As for the space group: Cm (8). The total DFT energy (no corrections) is -5.445 eV per atom. Its formation energy from the elements is 32 meV/atom. As for the offset from the most stable computed form: 0 meV per atom.

=====

No. 4
Compound: CsCuOs2O8
Source: Alexandria
Functional: PBE
Structure: relaxed

a b c (Å): 5.436 5.436 8.797
angles (deg): 90.00 90.00 120.00
Fractional positions:
1 Cs 0.000 0.000 0.000
2 Cu 0.000 0.000 0.500
3 Os 0.333 0.667 0.704
4 Os 0.667 0.333 0.296
5 O 0.051 0.333 0.640
6 O 0.281 0.949 0.640
7 O 0.333 0.281 0.360
8 O 0.333 0.667 0.906
9 O 0.667 0.333 0.094
10 O 0.667 0.719 0.640
11 O 0.719 0.051 0.360
12 O 0.949 0.667 0.360

## Properties
As for the space group: P-3 (147). The total DFT energy (no corrections) is -6.606 eV per atom.

=====

No. 5
Compound: Zn9Cu4Au11
Source: Alexandria
Functional: PBE
Structure: relaxed

a b c (Å): 11.439 11.439 3.079
angles (deg): 90.00 90.00 108.02
Fractional positions:
1 Zn 0.000 0.000 0.000
2 Zn 0.110 0.662 0.000
3 Zn 0.297 0.472 0.000
4 Zn 0.338 0.890 0.000
5 Zn 0.472 0.297 0.000
6 Zn 0.528 0.703 0.000
7 Zn 0.662 0.110 0.000
8 Zn 0.703 0.528 0.000
9 Zn 0.890 0.338 0.000
10 Cu 0.070 0.238 0.000
11 Cu 0.238 0.070 0.000
12 Cu 0.762 0.930 0.000
13 Cu 0.930 0.762 0.000
14 Au 0.098 0.448 0.500
15 Au 0.126 0.874 0.500
16 Au 0.266 0.266 0.500
17 Au 0.316 0.684 0.500
18 Au 0.448 0.098 0.500
19 Au 0.500 0.500 0.500
20 Au 0.552 0.902 0.500
21 Au 0.684 0.316 0.500
22 Au 0.734 0.734 0.500
23 Au 0.874 0.126 0.500
24 Au 0.902 0.552 0.500

## Properties
As for the space group: Cmmm (65). The total DFT energy (no corrections) is -2.802 eV per atom. Its formation energy from the elements is -139 meV/atom.

=====

No. 6
Compound: V2B2Pt
Source: Alexandria
Functional: PBE
Structure: relaxed

a b c (Å): 5.490 5.490 3.520
angles (deg): 90.00 90.00 90.00
Fractional positions:
1 V 0.159 0.341 0.000
2 V 0.341 0.841 0.000
3 V 0.659 0.159 0.000
4 V 0.841 0.659 0.000
5 B 0.114 0.614 0.500
6 B 0.386 0.114 0.500
7 B 0.614 0.886 0.500
8 B 0.886 0.386 0.500
9 Pt 0.000 0.000 0.500
10 Pt 0.500 0.500 0.500

## Properties
As for the space group: P4/mbm (127). The total DFT energy (no corrections) is -8.133 eV per atom. Its formation energy from the elements is -606 meV/atom.

=====

No. 7
Compound: LaZr2Te
Source: Alexandria
Functional: PBE
Structure: relaxed

a b c (Å): 4.133 4.819 5.020
angles (deg): 90.00 90.00 90.00
Fractional positions:
1 La 0.000 0.000 0.000
2 Zr 0.000 0.500 0.500
3 Zr 0.500 0.500 0.000
4 Te 0.500 0.000 0.500

## Properties
As for the space group: Pmmm (47). The total DFT energy (no corrections) is -6.573 eV per atom.

=====

No. 8
Compound: Te2PBr
Source: Alexandria
Functional: PBE
Structure: relaxed

a b c (Å): 3.987 3.987 8.184
angles (deg): 90.00 90.00 90.00
Fractional positions:
1 Te 0.000 0.000 0.000
2 Te 0.500 0.000 0.500
3 P 0.000 0.500 0.500
4 Br 0.500 0.500 0.000

## Properties
As for the space group: Pmmm (47). The total DFT energy (no corrections) is -2.851 eV per atom. As for the offset from the most stable computed form: 405 meV per atom.

=====

No. 9
Compound: AlPPtCl2
Source: Alexandria
Functional: PBE
Structure: relaxed

a b c (Å): 5.234 5.234 4.473
angles (deg): 90.00 90.00 90.00
Fractional positions:
1 Al 0.000 0.000 0.000
2 P 0.500 0.500 0.000
3 Pt 0.500 0.500 0.500
4 Cl 0.000 0.500 0.500
5 Cl 0.500 0.000 0.500

## Properties
As for the space group: P4/mmm (123). The total DFT energy (no corrections) is -3.599 eV per atom. As for the offset from the most stable computed form: 0 meV per atom.

=====

No. 10
Compound: Sm4AgTe2
Source: Alexandria
Functional: PBE
Structure: relaxed

a b c (Å): 8.252 8.252 7.448
angles (deg): 115.98 115.98 29.59
Fractional positions:
1 Sm 0.108 0.108 0.251
2 Sm 0.384 0.384 0.185
3 Sm 0.616 0.616 0.815
4 Sm 0.892 0.892 0.749
5 Ag 0.000 0.000 0.500
6 Te 0.242 0.242 0.729
7 Te 0.758 0.758 0.271

## Properties
As for the space group: C2/m (12). The total DFT energy (no corrections) is -4.748 eV per atom.

=====

No. 11
Compound: Pr4NdSe7
Source: Alexandria
Functional: PBE
Structure: relaxed

a b c (Å): 7.305 7.305 12.588
angles (deg): 104.18 104.18 32.93
Fractional positions:
1 Pr 0.000 0.000 0.000
2 Pr 0.188 0.188 0.768
3 Pr 0.587 0.587 0.388
4 Pr 0.888 0.888 0.577
5 Nd 0.775 0.775 0.156
6 Se 0.149 0.149 0.227
7 Se 0.227 0.227 0.527
8 Se 0.386 0.386 0.078
9 Se 0.548 0.548 0.628
10 Se 0.628 0.628 0.929
11 Se 0.846 0.846 0.793
12 Se 0.929 0.929 0.361

## Properties
As for the space group: Cm (8). The total DFT energy (no corrections) is -5.903 eV per atom.

=====

No. 12
Compound: Cr2RhCl
Source: Alexandria
Functional: PBE
Structure: relaxed

a b c (Å): 6.128 6.128 6.128
angles (deg): 146.39 146.39 48.27
Fractional positions:
1 Cr 0.000 0.000 0.000
2 Cr 0.750 0.250 0.500
3 Rh 0.250 0.750 0.500
4 Cl 0.500 0.500 0.000

## Properties
As for the space group: I-4m2 (119). The total DFT energy (no corrections) is -6.458 eV per atom. As for the offset from the most stable computed form: 552 meV per atom.

=====

No. 13
Compound: CrRe3
Source: Alexandria
Functional: PBE
Structure: relaxed

a b c (Å): 5.221 8.612 5.159
angles (deg): 90.00 90.00 90.00
Fractional positions:
1 Cr 0.051 0.250 0.073
2 Cr 0.449 0.750 0.573
3 Cr 0.551 0.250 0.427
4 Cr 0.949 0.750 0.927
5 Re 0.027 0.250 0.572
6 Re 0.174 0.513 0.801
7 Re 0.174 0.987 0.801
8 Re 0.326 0.013 0.301
9 Re 0.326 0.487 0.301
10 Re 0.473 0.750 0.072
11 Re 0.527 0.250 0.928
12 Re 0.674 0.513 0.699
13 Re 0.674 0.987 0.699
14 Re 0.826 0.013 0.199
15 Re 0.826 0.487 0.199
16 Re 0.973 0.750 0.428

## Properties
As for the space group: Pnma (62). The total DFT energy (no corrections) is -11.564 eV per atom. Its formation energy from the elements is 178 meV/atom.

=====

No. 14
Compound: AlPPb2
Source: Alexandria
Functional: PBE
Structure: relaxed

a b c (Å): 3.732 18.085 6.350
angles (deg): 90.00 90.00 90.00
Fractional positions:
1 Al 0.250 0.126 0.052
2 Al 0.250 0.374 0.052
3 Al 0.750 0.626 0.948
4 Al 0.750 0.874 0.948
5 P 0.250 0.686 0.796
6 P 0.250 0.814 0.796
7 P 0.750 0.186 0.204
8 P 0.750 0.314 0.204
9 Pb 0.250 0.001 0.744
10 Pb 0.250 0.499 0.744
11 Pb 0.250 0.662 0.344
12 Pb 0.250 0.838 0.344
13 Pb 0.750 0.162 0.656
14 Pb 0.750 0.338 0.656
15 Pb 0.750 0.501 0.256
16 Pb 0.750 0.999 0.256

## Properties
As for the space group: Pmmn (59). The total DFT energy (no corrections) is -4.077 eV per atom. Its formation energy from the elements is 66 meV/atom. As for the offset from the most stable computed form: 70 meV per atom.

=====

No. 15
Compound: RbLiThI6
Source: Alexandria
Functional: PBE
Structure: relaxed

a b c (Å): 7.906 7.906 16.501
angles (deg): 90.00 90.00 120.00
Fractional positions:
1 Rb 0.000 0.000 0.000
2 Rb 0.000 0.000 0.500
3 Li 0.333 0.667 0.250
4 Li 0.667 0.333 0.750
5 Th 0.333 0.667 0.750
6 Th 0.667 0.333 0.250
7 I 0.003 0.369 0.143
8 I 0.003 0.633 0.357
9 I 0.367 0.369 0.357
10 I 0.367 0.997 0.143
11 I 0.369 0.003 0.643
12 I 0.369 0.367 0.857
13 I 0.631 0.633 0.143
14 I 0.631 0.997 0.357
15 I 0.633 0.003 0.857
16 I 0.633 0.631 0.643
17 I 0.997 0.367 0.643
18 I 0.997 0.631 0.857

## Properties
As for the space group: P-31c (163). The total DFT energy (no corrections) is -3.466 eV per atom.

=====

No. 16
Compound: BaLi4Cu3Cl12
Source: Alexandria
Functional: PBE
Structure: relaxed

a b c (Å): 8.141 8.141 8.141
angles (deg): 109.47 109.47 109.47
Fractional positions:
1 Ba 0.000 0.000 0.000
2 Li 0.000 0.000 0.500
3 Li 0.000 0.500 0.000
4 Li 0.500 0.000 0.000
5 Li 0.500 0.500 0.500
6 Cu 0.000 0.500 0.500
7 Cu 0.500 0.000 0.500
8 Cu 0.500 0.500 0.000
9 Cl 0.153 0.320 0.833
10 Cl 0.167 0.488 0.320
11 Cl 0.167 0.847 0.680
12 Cl 0.320 0.167 0.488
13 Cl 0.320 0.833 0.153
14 Cl 0.488 0.320 0.167
15 Cl 0.512 0.680 0.833
16 Cl 0.680 0.167 0.847
17 Cl 0.680 0.833 0.512
18 Cl 0.833 0.153 0.320
19 Cl 0.833 0.512 0.680
20 Cl 0.847 0.680 0.167

## Properties
As for the space group: Im-3 (204). The total DFT energy (no corrections) is -3.491 eV per atom.

=====

No. 17
Compound: Y2NbSnIr
Source: Alexandria
Functional: PBE
Structure: relaxed

a b c (Å): 5.374 5.374 4.875
angles (deg): 90.00 90.00 90.00
Fractional positions:
1 Y 0.000 0.500 0.000
2 Y 0.500 0.000 0.000
3 Nb 0.000 0.000 0.500
4 Sn 0.500 0.500 0.500
5 Ir 0.000 0.000 0.000

## Properties
As for the space group: P4/mmm (123). The total DFT energy (no corrections) is -7.248 eV per atom. Its formation energy from the elements is -76 meV/atom.

=====

No. 18
Compound: TbNd2PuBi4
Source: Alexandria
Functional: PBE
Structure: relaxed

a b c (Å): 7.899 4.568 7.903
angles (deg): 90.00 109.43 90.00
Fractional positions:
1 Tb 0.000 0.000 0.000
2 Nd 0.500 0.000 0.500
3 Nd 0.500 0.500 0.000
4 Pu 0.000 0.500 0.500
5 Bi 0.243 0.000 0.748
6 Bi 0.243 0.500 0.247
7 Bi 0.757 0.000 0.252
8 Bi 0.757 0.500 0.753

## Properties
As for the space group: P2/m (10). The total DFT energy (no corrections) is -6.272 eV per atom. Its formation energy from the elements is -769 meV/atom.

=====

No. 19
Compound: SrMgBeCo2
Source: Alexandria
Functional: PBE
Structure: relaxed

a b c (Å): 4.798 4.798 5.006
angles (deg): 90.00 90.00 90.00
Fractional positions:
1 Sr 0.000 0.000 0.000
2 Mg 0.500 0.500 0.500
3 Be 0.000 0.000 0.500
4 Co 0.000 0.500 0.000
5 Co 0.500 0.000 0.000

## Properties
As for the space group: P4/mmm (123). The total DFT energy (no corrections) is -2.335 eV per atom. Its formation energy from the elements is 1908 meV/atom.

=====

No. 20
Compound: SrNdCdAg
Source: Alexandria
Functional: PBE
Structure: relaxed

a b c (Å): 5.493 5.493 5.493
angles (deg): 60.00 60.00 60.00
Fractional positions:
1 Sr 0.000 0.000 0.000
2 Nd 0.500 0.500 0.500
3 Cd 0.250 0.250 0.250
4 Ag 0.750 0.750 0.750

## Properties
As for the space group: F-43m (216). The total DFT energy (no corrections) is -2.803 eV per atom. Its formation energy from the elements is -249 meV/atom. As for the offset from the most stable computed form: 41 meV per atom.

=====

No. 21
Compound: Sr4HoSn3O12
Source: Alexandria
Functional: PBE
Structure: relaxed

a b c (Å): 7.244 7.244 7.244
angles (deg): 109.47 109.47 109.47
Fractional positions:
1 Sr 0.000 0.000 0.500
2 Sr 0.000 0.500 0.000
3 Sr 0.500 0.000 0.000
4 Sr 0.500 0.500 0.500
5 Ho 0.000 0.000 0.000
6 Sn 0.000 0.500 0.500
7 Sn 0.500 0.000 0.500
8 Sn 0.500 0.500 0.000
9 O 0.000 0.260 0.260
10 O 0.000 0.740 0.740
11 O 0.250 0.500 0.750
12 O 0.250 0.750 0.500
13 O 0.260 0.000 0.260
14 O 0.260 0.260 0.000
15 O 0.500 0.250 0.750
16 O 0.500 0.750 0.250
17 O 0.740 0.000 0.740
18 O 0.740 0.740 0.000
19 O 0.750 0.250 0.500
20 O 0.750 0.500 0.250

## Properties
As for the space group: Im-3m (229). The total DFT energy (no corrections) is -6.466 eV per atom.

=====

No. 22
Compound: Mg2ScZn
Source: Alexandria
Functional: PBE
Structure: relaxed

a b c (Å): 5.804 5.804 4.881
angles (deg): 114.63 114.63 34.15
Fractional positions:
1 Mg 0.224 0.224 0.225
2 Mg 0.776 0.776 0.775
3 Sc 0.000 0.000 0.500
4 Zn 0.500 0.500 0.000

## Properties
As for the space group: C2/m (12). The total DFT energy (no corrections) is -2.786 eV per atom. Its formation energy from the elements is -87 meV/atom.